1.
The following is a PBE-GGA calculation of an optimized crystal structure of SrZn2Ir, from Alexandria.

Cell: 4.3531 4.3531 10.7621 Å, 90.00 90.00 120.00°
Fractional positions:
Sr 0.3333 0.6667 0.2500
Sr 0.6667 0.3333 0.7500
Zn 0.3333 0.6667 0.5496
Zn 0.3333 0.6667 0.9504
Zn 0.6667 0.3333 0.0496
Zn 0.6667 0.3333 0.4504
Ir 0.0000 0.0000 0.0000
Ir 0.0000 0.0000 0.5000

SG ... P6_3/mmc, No. 194
ΔE_f ... -1.1 eV/f.u.

2.
The following is a PBE-GGA calculation of an optimized crystal structure of NaNdAlHg, from Alexandria.

Cell: 5.2319 5.2319 5.2319 Å, 60.00 60.00 60.00°
Fractional positions:
Na 0.0000 0.0000 0.0000
Nd 0.5000 0.5000 0.5000
Al 0.2500 0.2500 0.2500
Hg 0.7500 0.7500 0.7500

SG ... F-43m, No. 216
ΔE_f ... -0.8 eV/f.u.

3.
The following is a PBE-GGA calculation of an optimized crystal structure of BeSi2W, from Alexandria.

Cell: 4.6583 4.6583 4.6583 Å, 138.94 129.07 67.39°
Fractional positions:
Be 0.0000 0.0000 0.0000
Si 0.2179 0.7179 0.5000
Si 0.4842 0.4842 0.0000
W 0.7414 0.2414 0.5000

Formation energy from raw total energies ... 0.095 eV per atom
SG ... Imm2, No. 44

4.
The following is a PBE-GGA calculation of an optimized crystal structure of Li9Tl2Hg3, from Alexandria.

Cell: 8.3937 8.3937 8.3937 Å, 147.65 122.44 67.60°
Fractional positions:
Li 0.0000 0.0000 0.0000
Li 0.1089 0.8701 0.2387
Li 0.1554 0.3082 0.8471
Li 0.3686 0.1299 0.2387
Li 0.4611 0.3082 0.1529
Li 0.5389 0.6918 0.8471
Li 0.6314 0.8701 0.7613
Li 0.8446 0.6918 0.1529
Li 0.8911 0.1299 0.7613
Tl 0.2212 0.5000 0.7212
Tl 0.7788 0.5000 0.2788
Hg 0.2082 0.7082 0.5000
Hg 0.5000 0.0000 0.5000
Hg 0.7918 0.2918 0.5000

SG ... Immm, No. 71
ΔE_f ... -2.1 eV/f.u.

5.
The following is a PBE-GGA calculation of an optimized crystal structure of KCaSi4, from Alexandria.

Cell: 5.4822 5.4822 5.4822 Å, 60.00 60.00 60.00°
Fractional positions:
K 0.0000 0.0000 0.0000
Ca 0.2500 0.2500 0.2500
Si 0.1058 0.6314 0.6314
Si 0.6314 0.1058 0.6314
Si 0.6314 0.6314 0.1058
Si 0.6314 0.6314 0.6314

Formation energy from raw total energies ... 0.040 eV per atom
SG ... F-43m, No. 216

6.
The following is a PBE-GGA calculation of an optimized crystal structure of ZnCdSN2, from Alexandria.

Cell: 4.1641 4.1641 5.6958 Å, 90.00 90.00 90.00°
Fractional positions:
Zn 0.0000 0.0000 0.0000
Cd 0.5000 0.5000 0.5000
S 0.5000 0.5000 0.0000
N 0.0000 0.5000 0.5000
N 0.5000 0.0000 0.5000

Formation energy from raw total energies ... 1.692 eV per atom
SG ... P4/mmm, No. 123

7.
The following is a PBE-GGA calculation of an optimized crystal structure of Pr2PaFe2N6, from Alexandria.

Cell: 6.6691 6.6691 6.6691 Å, 50.61 50.61 50.61°
Fractional positions:
Pr 0.2106 0.2106 0.2106
Pr 0.7894 0.7894 0.7894
Pa 0.0000 0.0000 0.0000
Fe 0.4082 0.4082 0.4082
Fe 0.5918 0.5918 0.5918
N 0.2292 0.7468 0.7468
N 0.2532 0.2532 0.7708
N 0.2532 0.7708 0.2532
N 0.7468 0.2292 0.7468
N 0.7468 0.7468 0.2292
N 0.7708 0.2532 0.2532

Formation energy from raw total energies ... -0.706 eV per atom
SG ... R-3m, No. 166

8.
The following is a PBE-GGA calculation of an optimized crystal structure of KCuCl, from Alexandria.

Cell: 5.0462 5.0462 5.0462 Å, 60.00 60.00 60.00°
Fractional positions:
K 0.0000 0.0000 0.0000
Cu 0.5000 0.5000 0.5000
Cl 0.7500 0.7500 0.7500

Formation energy from raw total energies ... -0.235 eV per atom
SG ... F-43m, No. 216